# La7Sn

La7Sn after structural relaxation (PBE, the Alexandria database).

Calculated volume, Å³ per cell: 1079
Electronic total energy, eV per cell: -160.27
Formation enthalpy at 0 K, eV/atom: -0.1966
Crystal system: cubic
Theoretical density, g cm⁻³: 6.72

abc: 10.257 10.257 10.257
angles: 90.00 90.00 90.00
Space group Fm-3m (No. 225)
Symmetry-distinct sites (fractional):
La 0.000 0.000 0.000
La 0.000 0.250 0.250
Sn 0.000 0.000 0.500

# La3Sn

La3Sn after structural relaxation (PBE, the Alexandria database).

Calculated volume, Å³ per cell: 129
Electronic total energy, eV per cell: -20.29
Formation enthalpy at 0 K, eV/atom: -0.3750
Crystal system: orthorhombic
Theoretical density, g cm⁻³: 6.90
Energy above the most stable polymorph in this dataset, meV/atom: 118

abc: 3.672 5.704 6.152
angles: 90.00 90.00 90.00
Space group Pmm2 (No. 25)
Symmetry-distinct sites (fractional):
La 0.000 0.000 0.000
La 0.000 0.500 0.391
La 0.500 0.000 0.550
Sn 0.500 0.500 0.879

# LaSn3

LaSn3 after structural relaxation (PBE, the Alexandria database).

Calculated volume, Å³ per cell: 111
Electronic total energy, eV per cell: -19.24
Formation enthalpy at 0 K, eV/atom: -0.5773
Crystal system: cubic
Theoretical density, g cm⁻³: 7.40

abc: 4.808 4.808 4.808
angles: 90.00 90.00 90.00
Space group Pm-3m (No. 221)
Symmetry-distinct sites (fractional):
La 0.000 0.000 0.000
Sn 0.000 0.500 0.500

# LaSn5

LaSn5 after structural relaxation (PBE, the Alexandria database).

Calculated volume, Å³ per cell: 336
Electronic total energy, eV per cell: -53.53
Formation enthalpy at 0 K, eV/atom: -0.3035
Crystal system: orthorhombic
Theoretical density, g cm⁻³: 7.23

abc: 4.833 15.275 4.556
angles: 90.00 90.00 90.00
Space group Cmmm (No. 65)
Symmetry-distinct sites (fractional):
La 0.000 0.000 0.000
Sn 0.000 0.175 0.500
Sn 0.000 0.339 0.000
Sn 0.000 0.500 0.500

Q: Among the records above, which one has the lowest formation enthalpy at 0 K?
A: LaSn3